# 1
Computed, not measured: crystalline NdAlGa2Ru2 at its relaxed geometry at the PBE level of DFT.

Output
- Energy relative to the elements: -0.2569 eV per atom
- Space group: P4/mmm

a = 4.5019 Å, b = 4.5019 Å, c = 5.7242 Å
α = 90.00°, β = 90.00°, γ = 90.00°
Sites, in units of the cell vectors:
Nd  0.0000  0.0000  0.0000
Al  0.0000  0.0000  0.5000
Ga  0.5000  0.5000  0.2432
Ga  0.5000  0.5000  0.7568
Ru  0.0000  0.5000  0.5000
Ru  0.5000  0.0000  0.5000

---

# 2
Computed, not measured: crystalline NiBiRh2 at its relaxed geometry at the PBE level of DFT.

Output
- Energy relative to the elements: 0.0386 eV per atom
- Space group: P4/mmm

a = 4.0397 Å, b = 4.0397 Å, c = 3.8844 Å
α = 90.00°, β = 90.00°, γ = 90.00°
Sites, in units of the cell vectors:
Ni  0.0000  0.0000  0.0000
Bi  0.5000  0.5000  0.0000
Rh  0.0000  0.5000  0.5000
Rh  0.5000  0.0000  0.5000

---

# 3
Computed, not measured: crystalline MnRh2Br at its relaxed geometry at the PBE level of DFT.

Output
- E_form (uncorrected): 0.3146 eV per atom
- Space group: Cm
- Energy above the most stable polymorph in this dataset: 0.089 eV/atom

a = 4.5107 Å, b = 4.5107 Å, c = 6.5659 Å
α = 98.05°, β = 98.05°, γ = 38.84°
Sites, in units of the cell vectors:
Mn  0.0000  0.0000  0.0000
Rh  0.2666  0.2666  0.7993
Rh  0.5240  0.5240  0.6788
Br  0.5946  0.5946  0.3028

---

# 4
Computed, not measured: crystalline Tb3ErIr at its relaxed geometry at the PBE level of DFT.

Output
- Energy relative to the elements: -0.3237 eV per atom
- Space group: Pmn2_1
- Energy above the most stable polymorph in this dataset: 0.000 eV/atom

a = 7.6412 Å, b = 6.5277 Å, c = 6.1825 Å
α = 90.00°, β = 90.00°, γ = 90.00°
Sites, in units of the cell vectors:
Tb  0.0000  0.1532  0.0000
Tb  0.2497  0.3117  0.5027
Tb  0.2503  0.6883  0.0027
Tb  0.5000  0.8468  0.5000
Tb  0.7503  0.3117  0.5027
Tb  0.7497  0.6883  0.0027
Er  0.0000  0.8456  0.5070
Er  0.5000  0.1544  0.0070
Ir  0.0000  0.5028  0.2542
Ir  0.5000  0.4972  0.7542

---

# 5
Computed, not measured: crystalline Al2Cd2P at its relaxed geometry at the PBE level of DFT.

Output
- Energy relative to the elements: 0.1507 eV per atom
- Space group: P4/mbm
- Energy above the most stable polymorph in this dataset: 0.000 eV/atom

a = 6.4278 Å, b = 6.4278 Å, c = 4.9989 Å
α = 90.00°, β = 90.00°, γ = 90.00°
Sites, in units of the cell vectors:
Al  0.1462  0.3538  0.0000
Al  0.3538  0.8538  0.0000
Al  0.6462  0.1462  0.0000
Al  0.8538  0.6462  0.0000
Cd  0.1721  0.6721  0.5000
Cd  0.3279  0.1721  0.5000
Cd  0.6721  0.8279  0.5000
Cd  0.8279  0.3279  0.5000
P  0.0000  0.0000  0.0000
P  0.5000  0.5000  0.0000

---

# 6
Computed, not measured: crystalline CaMgTa2 at its relaxed geometry at the PBE level of DFT.

Output
- Energy relative to the elements: 0.5858 eV per atom
- Space group: R-3m

a = 10.9390 Å, b = 10.9390 Å, c = 10.9390 Å
α = 15.79°, β = 15.79°, γ = 15.79°
Sites, in units of the cell vectors:
Ca  0.0000  0.0000  0.0000
Mg  0.5000  0.5000  0.5000
Ta  0.2458  0.2458  0.2458
Ta  0.7542  0.7542  0.7542

---

# 7
Computed, not measured: crystalline LaPm2NdEr at its relaxed geometry at the PBE level of DFT.

Output
- Energy relative to the elements: 0.2438 eV per atom
- Space group: P2/c

a = 6.4445 Å, b = 8.7173 Å, c = 6.4963 Å
α = 90.00°, β = 107.22°, γ = 90.00°
Sites, in units of the cell vectors:
La  0.0000  0.0000  0.0000
La  0.0000  0.0000  0.5000
Pm  0.2923  0.3425  0.3502
Pm  0.2923  0.6575  0.8502
Pm  0.7077  0.3425  0.1498
Pm  0.7077  0.6575  0.6498
Nd  0.5000  0.0905  0.7500
Nd  0.5000  0.9095  0.2500
Er  0.0000  0.3347  0.7500
Er  0.0000  0.6653  0.2500

---

# 8
Computed, not measured: crystalline Ca3Zn2In2Au4 at its relaxed geometry at the PBE level of DFT.

Output
- Energy relative to the elements: -0.5459 eV per atom
- Space group: P-3m1

a = 4.6516 Å, b = 4.6516 Å, c = 13.8860 Å
α = 90.00°, β = 90.00°, γ = 120.00°
Sites, in units of the cell vectors:
Ca  0.0000  0.0000  0.0000
Ca  0.0000  0.0000  0.2637
Ca  0.0000  0.0000  0.7363
Zn  0.3333  0.6667  0.1440
Zn  0.6667  0.3333  0.8560
In  0.3333  0.6667  0.5707
In  0.6667  0.3333  0.4293
Au  0.3333  0.6667  0.3647
Au  0.3333  0.6667  0.8707
Au  0.6667  0.3333  0.1293
Au  0.6667  0.3333  0.6353

---

# 9
Computed, not measured: crystalline CsRb4Hg2 at its relaxed geometry at the PBE level of DFT.

Output
- Energy relative to the elements: -0.1085 eV per atom
- Space group: R-3m
- Energy above the most stable polymorph in this dataset: 0.022 eV/atom

a = 13.6048 Å, b = 13.6048 Å, c = 13.6048 Å
α = 27.27°, β = 27.27°, γ = 27.27°
Sites, in units of the cell vectors:
Cs  0.0000  0.0000  0.0000
Rb  0.1983  0.1983  0.1983
Rb  0.4089  0.4089  0.4089
Rb  0.5911  0.5911  0.5911
Rb  0.8017  0.8017  0.8017
Hg  0.1003  0.1003  0.1003
Hg  0.8997  0.8997  0.8997

---

# 10
Computed, not measured: crystalline Pr4AgHg5 at its relaxed geometry at the PBE level of DFT.

Output
- Energy relative to the elements: -0.4028 eV per atom
- Space group: C2/m
- Energy above the most stable polymorph in this dataset: 0.000 eV/atom

a = 8.6233 Å, b = 8.6233 Å, c = 6.5522 Å
α = 103.82°, β = 103.82°, γ = 35.76°
Sites, in units of the cell vectors:
Pr  0.0942  0.0942  0.3361
Pr  0.3137  0.3137  0.1782
Pr  0.6863  0.6863  0.8218
Pr  0.9058  0.9058  0.6639
Ag  0.5000  0.5000  0.5000
Hg  0.0996  0.0996  0.8538
Hg  0.2844  0.2844  0.6621
Hg  0.5000  0.5000  0.0000
Hg  0.7156  0.7156  0.3379
Hg  0.9004  0.9004  0.1462

---

# 11
Computed, not measured: crystalline ZrAg3Ru at its relaxed geometry at the PBE level of DFT.

Output
- Energy relative to the elements: 1.3040 eV per atom
- Space group: Pm-3m
- Energy above the most stable polymorph in this dataset: 0.000 eV/atom

a = 4.9091 Å, b = 4.9091 Å, c = 4.9091 Å
α = 90.00°, β = 90.00°, γ = 90.00°
Sites, in units of the cell vectors:
Zr  0.0000  0.0000  0.0000
Ag  0.0000  0.5000  0.5000
Ag  0.5000  0.0000  0.5000
Ag  0.5000  0.5000  0.0000
Ru  0.5000  0.5000  0.5000

---

# 12
Computed, not measured: crystalline Li2CdSnCl6 at its relaxed geometry at the PBE level of DFT.

Output
- E_form (uncorrected): -1.3228 eV per atom
- Space group: R3

a = 7.2408 Å, b = 7.2408 Å, c = 7.2408 Å
α = 55.41°, β = 55.41°, γ = 55.41°
Sites, in units of the cell vectors:
Li  0.0000  0.0000  0.0000
Li  0.4973  0.4973  0.4973
Cd  0.1965  0.1965  0.1965
Sn  0.6986  0.6986  0.6986
Cl  0.1400  0.7784  0.3753
Cl  0.2690  0.6088  0.9068
Cl  0.3753  0.1400  0.7784
Cl  0.6088  0.9068  0.2690
Cl  0.7784  0.3753  0.1400
Cl  0.9068  0.2690  0.6088

---

no.,Fermi-level density of states (states/eV per cell)
1,2.1
2,3.4
3,3.3
4,11.7
5,4.9
6,5.2
7,16.8
8,5.0
9,3.9
10,9.1
11,11.1
12,0.0